No. 1
Entry from Alexandria: a geometry-optimized SrCd2Rh structure (PBEsol).

Lattice parameters (Å, degrees): 3.245 3.831 6.943 90.00 90.00 90.00
Element x y z (fractional)
Cd 0.000 0.000 0.805
Cd 0.000 0.000 0.195
Rh 0.500 0.500 0.000
Sr 0.500 0.500 0.500

## Properties
Its space group is Pmmm.


No. 2
Entry from Alexandria: a geometry-optimized SrCd2Rh structure (PBEsol).

Lattice parameters (Å, degrees): 4.646 4.648 5.927 66.91 66.92 60.01
Element x y z (fractional)
Sr 0.755 0.755 0.735
Rh 0.564 0.564 0.307
Cd 0.957 0.957 0.129
Cd 0.224 0.224 0.329

## Properties
Its space group is R3m.


No. 3
Entry from Alexandria: a geometry-optimized SrCd2Rh structure (PBEsol).

Lattice parameters (Å, degrees): 3.246 4.967 6.062 113.14 104.02 93.57
Element x y z (fractional)
Cd 0.500 0.500 0.500
Cd 0.000 0.000 0.500
Rh 0.000 0.500 0.000
Sr 0.500 0.000 0.000

## Properties
Its space group is C2/m.


No. 4
Entry from Alexandria: a geometry-optimized SrCd2Rh structure (PBEsol).

Lattice parameters (Å, degrees): 3.315 5.270 5.270 113.50 90.00 90.00
Element x y z (fractional)
Cd 0.000 0.500 0.000
Cd 0.000 0.000 0.500
Rh 0.500 0.000 0.000
Sr 0.500 0.500 0.500

## Properties
Its space group is Cmmm.


No. 5
Entry from Alexandria: a geometry-optimized SrCdTcRh2 structure (PBEsol).

Lattice parameters (Å, degrees): 4.663 4.663 5.150 90.00 90.00 90.00
Element x y z (fractional)
Sr 0.500 0.500 0.500
Rh 0.000 0.500 0.000
Rh 0.500 0.000 0.000
Tc 0.000 0.000 0.000
Cd 0.000 0.000 0.500

## Properties
Its space group is P4/mmm.


No. 6
Entry from Alexandria: a geometry-optimized TaCdRh2 structure (PBEsol).

Lattice parameters (Å, degrees): 3.013 3.422 6.117 90.00 90.00 90.00
Element x y z (fractional)
Cd 0.500 0.500 0.500
Rh 0.000 0.000 0.768
Rh 0.000 0.000 0.232
Ta 0.500 0.500 0.000

## Properties
Its space group is Pmmm.


No. 7
Entry from Alexandria: a geometry-optimized TaCdRh2 structure (PBEsol).

Lattice parameters (Å, degrees): 3.748 3.823 5.067 112.16 111.71 90.00
Element x y z (fractional)
Cd 0.250 0.750 0.499
Rh 0.000 0.000 0.000
Rh 0.752 0.252 0.504
Ta 0.498 0.498 0.997

## Properties
Its space group is Imm2.


No. 8
Entry from Alexandria: a geometry-optimized TaCdRh2 structure (PBEsol).

Lattice parameters (Å, degrees): 4.166 4.618 4.166 63.19 90.00 116.81
Element x y z (fractional)
Cd 0.000 0.000 0.000
Rh 0.750 0.500 0.750
Rh 0.250 0.500 0.250
Ta 0.500 0.000 0.500

## Properties
Its space group is I4/mmm.


No. 9
Entry from Alexandria: a geometry-optimized TaCd2Rh structure (PBEsol).

Lattice parameters (Å, degrees): 4.570 4.570 4.570 60.00 60.00 60.00
Element x y z (fractional)
Cd 0.750 0.750 0.750
Cd 0.250 0.250 0.250
Rh 0.000 0.000 0.000
Ta 0.500 0.500 0.500

## Properties
Its space group is Fm-3m.


No. 10
Entry from Alexandria: a geometry-optimized TaCd2Rh structure (PBEsol).

Lattice parameters (Å, degrees): 3.040 4.632 4.900 90.00 90.00 90.00
Element x y z (fractional)
Cd 0.000 0.000 0.000
Cd 0.500 0.500 0.000
Rh 0.500 0.000 0.500
Ta 0.000 0.500 0.500

## Properties
Its space group is Pmmm.


No. 11
Entry from Alexandria: a geometry-optimized Tb4CdRh structure (PBEsol).

Lattice parameters (Å, degrees): 9.467 9.467 9.467 60.00 60.00 60.00
Element x y z (fractional)
Tb 0.100 0.700 0.100
Tb 0.313 0.313 0.687
Tb 0.687 0.687 0.313
Tb 0.560 0.940 0.940
Tb 0.687 0.313 0.313
Tb 0.560 0.560 0.940
Tb 0.940 0.560 0.560
Tb 0.100 0.100 0.700
Tb 0.940 0.940 0.560
Tb 0.100 0.100 0.100
Tb 0.313 0.687 0.687
Tb 0.700 0.100 0.100
Tb 0.940 0.560 0.940
Tb 0.313 0.687 0.313
Tb 0.687 0.313 0.687
Tb 0.560 0.940 0.560
Cd 0.331 0.008 0.331
Cd 0.331 0.331 0.331
Cd 0.008 0.331 0.331
Cd 0.331 0.331 0.008
Rh 0.322 0.893 0.893
Rh 0.893 0.893 0.893
Rh 0.893 0.893 0.322
Rh 0.893 0.322 0.893

## Properties
Its space group is F-43m.


No. 12
Entry from Alexandria: a geometry-optimized TbCdRh2 structure (PBEsol).

Lattice parameters (Å, degrees): 4.613 4.613 4.613 60.00 60.00 60.00
Element x y z (fractional)
Rh 0.750 0.750 0.750
Rh 0.250 0.250 0.250
Tb 0.000 0.000 0.000
Cd 0.500 0.500 0.500

## Properties
Its space group is Fm-3m.


Number 1: energy of formation -0.422 eV/f.u., density 7.99 g/cm3. Number 2: energy of formation -0.789 eV/f.u., density 6.98 g/cm3. Number 3: energy of formation 0.480 eV/f.u., density 8.04 g/cm3. Number 4: energy of formation 0.466 eV/f.u., density 8.17 g/cm3. Number 5: energy of formation 2.499 eV/f.u., density 7.47 g/cm3. Number 6: energy of formation -1.574 eV/f.u., density 13.15 g/cm3. Number 7: energy of formation -1.028 eV/f.u., density 13.44 g/cm3. Number 8: energy of formation -1.475 eV/f.u., density 13.43 g/cm3. Number 9: energy of formation 1.249 eV/f.u., density 12.52 g/cm3. Number 10: energy of formation 0.515 eV/f.u., density 12.24 g/cm3. Number 11: energy of formation -2.887 eV/f.u., density 9.42 g/cm3. Number 12: energy of formation -2.088 eV/f.u., density 11.41 g/cm3.